Entry 1:
Below is Dy2ErGe3Pt4 after structural relaxation, with properties calculated at the PBE level.

Structure (POSCAR):
```
Dy2ErGe3Pt4
1.0
4.184 0.000 0.000
0.000 4.184 0.000
0.000 0.000 11.409
Dy Er Ge Pt
2 1 3 4
direct
0.000 0.500 0.221
0.500 0.000 0.779
0.000 0.000 0.500
0.000 0.500 0.871
0.500 0.000 0.129
0.500 0.500 0.500
0.000 0.000 0.000
0.000 0.500 0.658
0.500 0.000 0.342
0.500 0.500 0.000
```

Output
Symmetry = P-4m2
ΔE_f = -0.9499 eV/atom

=====

Entry 2:
Below is Sn2PRu2 after structural relaxation, with properties calculated at the PBE level.

Structure (POSCAR):
```
Sn2PRu2
1.0
7.451 0.000 0.000
0.000 7.451 0.000
0.000 0.000 3.201
Sn P Ru
4 2 4
direct
0.150 0.350 0.000
0.350 0.850 0.000
0.650 0.150 0.000
0.850 0.650 0.000
0.000 0.000 0.500
0.500 0.500 0.500
0.150 0.650 0.500
0.350 0.150 0.500
0.650 0.850 0.500
0.850 0.350 0.500
```

Output
Distance to the lowest polymorph of the same formula = 0 meV per atom
Symmetry = P4/mbm
ΔE_f = 0.1741 eV/atom